[1]
An optimized crystal structure of Pm5InSn6. Source: the Alexandria database, functional PBE.

Calculated values
Its calculated formation energy is -43 kJ/mol of atoms. As for the space group: No. 12.

Cell and atoms, written as CIF:
```
data_Pm5InSn6
_symmetry_space_group_name_H-M 'P 1'
_symmetry_Int_Tables_number 1
_symmetry_space_group_name_Hall 'P 1'
_cell_length_a 8.2351
_cell_length_b 8.4009
_cell_length_c 6.8195
_cell_angle_alpha 51.98
_cell_angle_beta 83.98
_cell_angle_gamma 80.20
loop_
_atom_site_label
_atom_site_fract_x
_atom_site_fract_y
_atom_site_fract_z
_atom_site_occupancy
Sn1 0.2517 0.9104 0.6772 1
Sn2 0.2389 0.2507 0.0000 1
Pm1 0.5000 0.1641 0.6718 1
Pm2 0.0000 0.6827 0.6347 1
Pm3 0.0000 0.3173 0.3653 1
Sn3 0.7483 0.4124 0.6772 1
Sn4 0.7483 0.0896 0.3228 1
Sn5 0.7611 0.7493 0.0000 1
Pm4 0.5000 0.8359 0.3282 1
In1 0.0000 0.0000 0.0000 1
Sn6 0.2517 0.5876 0.3228 1
Pm5 0.5000 0.5000 0.0000 1
```

---

[2]
An optimized crystal structure of PmInSn. Source: the Alexandria database, functional PBE.

Calculated values
The distance to the lowest polymorph of the same formula is 5 kJ/mol of formula units. Its calculated formation energy is -45 kJ/mol of atoms. As for the space group: No. 12.

Cell and atoms, written as CIF:
```
data_PmInSn
_symmetry_space_group_name_H-M 'P 1'
_symmetry_Int_Tables_number 1
_symmetry_space_group_name_Hall 'P 1'
_cell_length_a 4.4723
_cell_length_b 4.4693
_cell_length_c 8.4060
_cell_angle_alpha 89.94
_cell_angle_beta 90.02
_cell_angle_gamma 90.00
loop_
_atom_site_label
_atom_site_fract_x
_atom_site_fract_y
_atom_site_fract_z
_atom_site_occupancy
Sn1 0.0153 0.9460 0.9691 1
In1 0.0142 0.4458 0.6678 1
In2 0.5142 0.9456 0.6678 1
Pm1 0.5152 0.4459 0.9892 1
Pm2 0.0142 0.9470 0.3465 1
Sn2 0.5142 0.4471 0.3664 1
```

---

[3]
An optimized crystal structure of Pm4In2Sn3. Source: the Alexandria database, functional PBE.

Calculated values
Its calculated formation energy is -55 kJ/mol of atoms. As for the space group: No. 12.

Cell and atoms, written as CIF:
```
data_Pm4In2Sn3
_symmetry_space_group_name_H-M 'P 1'
_symmetry_Int_Tables_number 1
_symmetry_space_group_name_Hall 'P 1'
_cell_length_a 4.5398
_cell_length_b 5.9758
_cell_length_c 11.3476
_cell_angle_alpha 68.05
_cell_angle_beta 90.00
_cell_angle_gamma 112.32
loop_
_atom_site_label
_atom_site_fract_x
_atom_site_fract_y
_atom_site_fract_z
_atom_site_occupancy
Pm1 0.0795 0.1590 0.6277 1
Sn1 0.0000 0.0000 0.0000 1
In1 0.6987 0.3974 0.7828 1
Sn2 0.3703 0.7405 0.6049 1
Pm2 0.9205 0.8410 0.3723 1
Sn3 0.6297 0.2595 0.3951 1
Pm3 0.6360 0.2720 0.1082 1
Pm4 0.3640 0.7280 0.8918 1
In2 0.3013 0.6026 0.2172 1
```

---

It is found that the spin magnetization values, taken in the order of the records, are 0.00 0.00 0.00 μB per formula unit.
It is found that the V values, taken in the order of the records, are 366 84 260 Å³/f.u..